1.
An optimized crystal structure of Li2BeAu. Source: Alexandria, functional PBE-GGA.

Space-group type = I4/mmm
Density of states at the Fermi level = 0.285 states/eV/atom

a b c (Å): 4.928 4.928 4.928
angles (deg): 138.04 138.04 60.83
Sites, in units of the cell vectors:
Li (0.250, 0.750, 0.500)
Li (0.750, 0.250, 0.500)
Be (0.000, 0.000, 0.000)
Au (0.500, 0.500, 0.000)



2.
An optimized crystal structure of LiBe6Au6. Source: Alexandria, functional PBE-GGA.

Space-group type = P6/mmm
Density of states at the Fermi level = 0.148 states/eV/atom
Energy above the lowest structure with this stoichiometry = 0 meV/atom

a b c (Å): 4.884 4.884 8.346
angles (deg): 90.00 90.00 120.00
Sites, in units of the cell vectors:
Li (0.000, 0.000, 0.000)
Be (0.000, 0.500, 0.244)
Be (0.000, 0.500, 0.756)
Be (0.500, 0.000, 0.244)
Be (0.500, 0.000, 0.756)
Be (0.500, 0.500, 0.244)
Be (0.500, 0.500, 0.756)
Au (0.000, 0.000, 0.322)
Au (0.000, 0.000, 0.678)
Au (0.333, 0.667, 0.000)
Au (0.333, 0.667, 0.500)
Au (0.667, 0.333, 0.000)
Au (0.667, 0.333, 0.500)



| no. | uncorrected energy (eV for the cell shown) | calculated formation energy (eV/atom) |
| --- | --- | --- |
| 1 | -11.6 | -0.20 |
| 2 | -46.7 | -0.22 |